1.
This record from OQMD via LeMat-Bulk describes an optimized crystal structure of TmTc. The functional is GGA-PBE.

Geometry as POSCAR:
```
TmTc
1.0
6.154 0.000 0.000
0.000 6.154 0.000
0.000 0.000 6.154
Tm Tc
4 4
direct
0.000 0.000 0.000
0.000 0.500 0.500
0.500 0.000 0.500
0.500 0.500 0.000
0.250 0.250 0.250
0.250 0.750 0.750
0.750 0.250 0.750
0.750 0.750 0.250
```

For the total magnetization, the calculation gives 8.00 Bohr magnetons per cell. The space-group type is F-43m (216). As for the raw total energy: -5.526 eV per atom. As for the calculated formation energy: 365 kJ/mol of formula units.



2.
This record from OQMD via LeMat-Bulk describes an optimized crystal structure of LaDyFe2Si2. The functional is GGA-PBE.

Geometry as POSCAR:
```
LaDyFe2Si2
1.0
4.053 0.000 0.000
0.000 4.053 0.000
0.000 0.000 6.777
La Dy Fe Si
1 1 2 2
direct
0.000 0.000 0.000
0.500 0.500 0.630
0.000 0.500 0.334
0.500 0.000 0.334
0.000 0.000 0.500
0.500 0.500 0.165
```

For the total magnetization, the calculation gives 0.03 Bohr magnetons per cell. The space-group type is P4mm (99). As for the raw total energy: -6.772 eV per atom.



3.
This record from OQMD via LeMat-Bulk describes an optimized crystal structure of HfSnNO. The functional is GGA-PBE.

Geometry as POSCAR:
```
HfSnNO
1.0
4.097 0.000 0.000
0.000 4.097 0.000
0.000 0.000 7.900
Hf Sn N O
2 2 2 2
direct
0.250 0.750 0.000
0.750 0.250 0.000
0.250 0.250 0.368
0.750 0.750 0.632
0.250 0.250 0.921
0.750 0.750 0.079
0.250 0.750 0.500
0.750 0.250 0.500
```

Its energy relative to the lowest polymorph listed for this composition is 457 meV/atom. For the total magnetization, the calculation gives 0.03 Bohr magnetons per cell. The space-group type is P4/nmm (129). As for the raw total energy: -7.844 eV per atom.



4.
This record from OQMD via LeMat-Bulk describes an optimized crystal structure of Ta4SiB. The functional is GGA-PBE.

Geometry as POSCAR:
```
Ta4SiB
1.0
5.992 0.000 0.000
0.000 5.992 0.000
0.000 0.000 5.002
Ta Si B
8 2 2
direct
0.148 0.319 0.000
0.148 0.681 0.500
0.319 0.148 0.500
0.319 0.852 0.000
0.681 0.148 0.000
0.681 0.852 0.500
0.852 0.319 0.500
0.852 0.681 0.000
0.500 0.500 0.250
0.500 0.500 0.750
0.000 0.000 0.250
0.000 0.000 0.750
```

For the total magnetization, the calculation gives 0.01 Bohr magnetons per cell. The space-group type is P4/mcc (124). As for the raw total energy: -10.504 eV per atom.